*one*
Here is a relaxed Cd4Pb5 crystal from Alexandria via LeMat-Bulk. Energies are from PBEsol.

Summary:
DOS(E_F): 3.88 states/eV per cell
symmetry: I4/mmm (139)

Geometry as POSCAR:
```
Cd4Pb5
1.0
4.870 0.000 0.000
2.435 6.953 0.000
2.435 0.000 6.953
Cd Pb
4 5
Direct
0.000 0.652 0.348
0.000 0.348 0.652
0.652 0.348 0.348
0.348 0.652 0.652
0.000 0.000 0.000
0.671 0.000 0.658
0.329 0.000 0.342
0.671 0.658 0.000
0.329 0.342 0.000
```

***

*two*
Here is a relaxed Cd4Pb5 crystal from Alexandria via LeMat-Bulk. Energies are from PBEsol.

Summary:
DOS(E_F): 10.10 states/eV per cell
symmetry: P6_3/mcm (193)

Geometry as POSCAR:
```
Cd4Pb5
1.0
-3.103 -0.987 -5.426
6.741 -5.816 -2.797
-7.312 -3.286 4.778
Cd Pb
8 10
Direct
0.000 0.000 0.000
0.500 0.000 0.000
0.750 0.000 0.363
0.750 0.363 0.000
0.750 0.637 0.637
0.250 0.000 0.637
0.250 0.637 0.000
0.250 0.363 0.363
0.750 0.000 0.701
0.750 0.701 0.000
0.750 0.299 0.299
0.250 0.000 0.299
0.250 0.299 0.000
0.250 0.701 0.701
0.000 0.333 0.667
0.500 0.667 0.333
0.000 0.667 0.333
0.500 0.333 0.667
```

***

Most stable pick: *one*. Distance to second place: 33 meV/atom.

***

*one*
Here is a relaxed Cd4Pb crystal from Alexandria via LeMat-Bulk. Energies are from PBEsol.

Summary:
DOS(E_F): 1.72 states/eV per cell
symmetry: I4/m (87)

Geometry as POSCAR:
```
Cd4Pb
1.0
4.558 0.000 0.000
2.279 5.016 0.000
2.279 0.000 5.016
Pb Cd
1 4
Direct
0.000 0.000 0.000
0.587 0.219 0.607
0.806 0.607 0.781
0.413 0.781 0.393
0.194 0.393 0.219
```

***

*two*
Here is a relaxed Cd4Pb crystal from Alexandria via LeMat-Bulk. Energies are from PBEsol.

Summary:
DOS(E_F): 1.80 states/eV per cell
symmetry: I4/mmm (139)

Geometry as POSCAR:
```
Cd4Pb
1.0
4.154 0.000 0.000
0.000 4.154 0.000
-2.077 -2.077 6.952
Pb Cd
1 4
Direct
0.000 0.000 0.000
0.750 0.250 0.500
0.250 0.750 0.500
0.601 0.601 0.202
0.399 0.399 0.798
```

***

*three*
Here is a relaxed Cd4Pb crystal from Alexandria via LeMat-Bulk. Energies are from PBEsol.

Summary:
DOS(E_F): 7.56 states/eV per cell
symmetry: I-43m (217)

Geometry as POSCAR:
```
Cd4Pb
1.0
8.570 0.000 0.000
-2.857 8.079 0.000
-2.857 -4.040 6.997
Cd Pb
16 4
Direct
0.222 0.000 0.000
0.000 0.222 0.000
0.778 0.778 0.778
0.000 0.000 0.222
0.349 0.000 0.349
0.651 0.000 0.651
0.000 0.651 0.651
0.000 0.349 0.349
0.349 0.349 0.000
0.651 0.651 0.000
0.250 0.500 0.750
0.750 0.500 0.250
0.500 0.250 0.750
0.500 0.750 0.250
0.750 0.250 0.500
0.250 0.750 0.500
0.581 0.000 0.000
0.000 0.581 0.000
0.419 0.419 0.419
0.000 0.000 0.581
```

***

Most stable pick: *one*. Distance to second place: 26 meV/atom.

***

*one*
Here is a relaxed RbCd2Pb2 crystal from Alexandria via LeMat-Bulk. Energies are from PBEsol.

Summary:
DOS(E_F): 1.47 states/eV per cell
symmetry: I4/mmm (139)

Geometry as POSCAR:
```
RbCd2Pb2
1.0
4.959 0.000 0.000
0.000 4.959 0.000
-2.480 -2.480 6.338
Pb Rb Cd
2 1 2
Direct
0.380 0.380 0.761
0.620 0.620 0.239
0.000 0.000 0.000
0.250 0.750 0.500
0.750 0.250 0.500
```

***

*two*
Here is a relaxed RbCd2Pb2 crystal from Alexandria via LeMat-Bulk. Energies are from PBEsol.

Summary:
DOS(E_F): 4.37 states/eV per cell
symmetry: P4/mbm (127)

Geometry as POSCAR:
```
RbCd2Pb2
1.0
-0.934 1.529 -2.871
-8.689 0.777 3.242
2.125 8.265 3.712
Pb Rb Cd
4 2 4
Direct
0.000 0.363 0.863
0.000 0.863 0.637
0.000 0.637 0.137
0.000 0.137 0.363
0.000 0.000 0.000
0.000 0.500 0.500
0.500 0.155 0.655
0.500 0.655 0.845
0.500 0.845 0.345
0.500 0.345 0.155
```

***

Most stable pick: *one*. Distance to second place: 58 meV/atom.

***

*one*
Here is a relaxed CdSi2Pb crystal from Alexandria via LeMat-Bulk. Energies are from PBEsol.

Summary:
DOS(E_F): 1.80 states/eV per cell
symmetry: I-4m2 (119)

Geometry as POSCAR:
```
CdSi2Pb
1.0
-2.034 -0.128 3.721
-3.520 -1.314 -1.970
4.115 -3.730 -0.298
Cd Pb Si
1 1 2
Direct
0.500 0.500 0.000
0.250 0.750 0.500
0.000 0.000 0.000
0.750 0.250 0.500
```

***

*two*
Here is a relaxed CdSi2Pb crystal from Alexandria via LeMat-Bulk. Energies are from PBEsol.

Summary:
DOS(E_F): 1.55 states/eV per cell
symmetry: P2/m (10)

Geometry as POSCAR:
```
CdSi2Pb
1.0
3.322 0.000 -0.558
0.000 3.899 0.000
-2.479 0.000 6.997
Cd Pb Si
1 1 2
Direct
0.500 0.500 0.000
0.000 0.500 0.500
0.809 0.000 0.809
0.191 0.000 0.191
```

***

Most stable pick: *two*. Distance to second place: 103 meV/atom.

***

*one*
Here is a relaxed CdSiPb crystal from Alexandria via LeMat-Bulk. Energies are from PBEsol.

Summary:
DOS(E_F): 1.39 states/eV per cell
symmetry: Imm2 (44)

Geometry as POSCAR:
```
CdSiPb
1.0
-1.662 2.005 1.760
-3.257 -1.476 -1.395
2.367 -4.028 4.015
Cd Pb Si
1 1 1
Direct
0.975 0.975 0.951
0.676 0.676 0.352
0.349 0.349 0.697
```

***

*two*
Here is a relaxed CdSiPb crystal from Alexandria via LeMat-Bulk. Energies are from PBEsol.

Summary:
DOS(E_F): 0.98 states/eV per cell
symmetry: F-43m (216)

Geometry as POSCAR:
```
CdSiPb
1.0
4.833 0.000 0.000
2.417 4.186 0.000
2.417 1.395 3.946
Cd Pb Si
1 1 1
Direct
0.500 0.500 0.500
0.250 0.250 0.250
0.000 0.000 0.000
```

***

Most stable pick: *one*. Distance to second place: 215 meV/atom.

***

*one*
Here is a relaxed TaCdPb crystal from Alexandria via LeMat-Bulk. Energies are from PBEsol.

Summary:
DOS(E_F): 4.11 states/eV per cell
symmetry: F-43m (216)

Geometry as POSCAR:
```
TaCdPb
1.0
-1.969 3.767 2.068
-4.665 0.696 -0.307
-2.729 -0.557 3.819
Pb Cd Ta
1 1 1
Direct
0.500 0.500 0.500
0.000 0.000 0.000
0.750 0.750 0.750
```

***

*two*
Here is a relaxed TaCdPb crystal from Alexandria via LeMat-Bulk. Energies are from PBEsol.

Summary:
DOS(E_F): 1.94 states/eV per cell
symmetry: Imm2 (44)

Geometry as POSCAR:
```
TaCdPb
1.0
3.101 0.000 0.000
0.000 4.002 0.000
-1.550 -2.001 5.105
Pb Cd Ta
1 1 1
Direct
0.670 0.670 0.339
0.987 0.987 0.975
0.343 0.343 0.686
```

***

Most stable pick: *two*. Distance to second place: 366 meV/atom.

***

*one*
Here is a relaxed CdPbW2 crystal from Alexandria via LeMat-Bulk. Energies are from PBEsol.

Summary:
DOS(E_F): 3.06 states/eV per cell
symmetry: C2/m (12)

Geometry as POSCAR:
```
CdPbW2
1.0
2.895 0.009 0.000
-0.663 5.296 0.000
-1.116 -2.653 4.802
Cd Pb W
1 1 2
Direct
0.500 0.000 0.000
0.000 0.500 0.000
0.000 0.000 0.500
0.500 0.500 0.500
```

***

*two*
Here is a relaxed CdPbW2 crystal from Alexandria via LeMat-Bulk. Energies are from PBEsol.

Summary:
DOS(E_F): 3.60 states/eV per cell
symmetry: Cmmm (65)

Geometry as POSCAR:
```
CdPbW2
1.0
2.841 0.000 0.000
0.000 5.388 0.023
0.000 -2.415 4.817
Cd Pb W
1 1 2
Direct
0.500 0.000 0.000
0.500 0.500 0.500
0.000 0.500 0.000
0.000 0.000 0.500
```

***

Most stable pick: *one*. Distance to second place: 133 meV/atom.

***

*one*
Here is a relaxed Zn2CdPb crystal from Alexandria via LeMat-Bulk. Energies are from PBEsol.

Summary:
DOS(E_F): 1.31 states/eV per cell
symmetry: Pm (6)

Geometry as POSCAR:
```
Zn2CdPb
1.0
-2.624 -2.479 1.148
2.870 -3.059 -0.046
2.663 2.433 4.289
Cd Pb Zn
1 1 2
Direct
0.528 0.000 0.428
0.208 0.500 0.812
0.806 0.000 0.988
0.958 0.500 0.272
```

***

*two*
Here is a relaxed Zn2CdPb crystal from Alexandria via LeMat-Bulk. Energies are from PBEsol.

Summary:
DOS(E_F): 1.62 states/eV per cell
symmetry: I4/mmm (139)

Geometry as POSCAR:
```
Zn2CdPb
1.0
4.467 0.000 0.000
0.000 4.467 0.000
-2.234 -2.234 4.105
Cd Pb Zn
1 1 2
Direct
0.500 0.500 0.000
0.000 0.000 0.000
0.750 0.250 0.500
0.250 0.750 0.500
```

***

Most stable pick: *one*. Distance to second place: 68 meV/atom.